No. 1
An optimized crystal structure of V15Mo2Ru2, computed with PBE-GGA.

Computed properties:
* space group: No. 166
* crystal system: trigonal
* calculated formation energy: 295 meV per atom

Structure (POSCAR):
```
V15Mo2Ru2
1.0
4.2336 2.4443 4.4056
-4.2336 2.4443 4.4056
0.0000 -4.8885 4.4056
V Mo Ru
15 2 2
direct
0.0000 0.0000 0.5000
0.0000 0.3165 0.6835
0.0000 0.5000 0.0000
0.0000 0.6835 0.3165
0.1685 0.6468 0.6468
0.3165 0.0000 0.6835
0.3165 0.6835 0.0000
0.3532 0.3532 0.8315
0.3532 0.8315 0.3532
0.5000 0.0000 0.0000
0.6468 0.1685 0.6468
0.6468 0.6468 0.1685
0.6835 0.0000 0.3165
0.6835 0.3165 0.0000
0.8315 0.3532 0.3532
0.0971 0.0971 0.0971
0.9029 0.9029 0.9029
0.3100 0.3100 0.3100
0.6900 0.6900 0.6900
```

=====

No. 2
An optimized crystal structure of V2MoRu2, computed with PBE-GGA.

Computed properties:
* excess energy over the best structure of this formula in the dataset: 0 meV per atom
* space group: No. 127
* crystal system: tetragonal
* calculated formation energy: -50 meV per atom

Structure (POSCAR):
```
V2MoRu2
1.0
7.1266 0.0000 0.0000
0.0000 7.1266 0.0000
0.0000 0.0000 2.8327
V Mo Ru
4 2 4
direct
0.1506 0.3494 0.0000
0.3494 0.8494 0.0000
0.6506 0.1506 0.0000
0.8494 0.6506 0.0000
0.0000 0.0000 0.0000
0.5000 0.5000 0.0000
0.1509 0.6509 0.5000
0.3491 0.1509 0.5000
0.6509 0.8491 0.5000
0.8491 0.3491 0.5000
```

=====

No. 3
An optimized crystal structure of V2MoRu4, computed with PBE-GGA.

Computed properties:
* excess energy over the best structure of this formula in the dataset: 0 meV per atom
* space group: No. 1
* crystal system: triclinic
* calculated formation energy: -61 meV per atom

Structure (POSCAR):
```
V2MoRu4
1.0
4.9301 0.0000 0.0000
1.0590 6.7385 0.0000
1.1640 3.2371 6.0462
V Mo Ru
4 2 8
direct
0.0000 0.0000 0.0000
0.1234 0.1472 0.2865
0.4607 0.5670 0.7084
0.5985 0.4031 0.1762
0.5646 0.8586 0.8608
0.9895 0.6857 0.4477
0.0769 0.8722 0.6919
0.1158 0.5688 0.1287
0.2905 0.2571 0.6069
0.4846 0.1708 0.9874
0.4940 0.7161 0.2863
0.6175 0.9912 0.4292
0.7971 0.3095 0.5322
0.9446 0.4249 0.8740
```

=====

No. 4
An optimized crystal structure of V4Mo2Ru3, computed with PBE-GGA.

Computed properties:
* space group: No. 164
* crystal system: trigonal
* calculated formation energy: -176 meV per atom

Structure (POSCAR):
```
V4Mo2Ru3
1.0
4.3051 0.0000 0.0000
-2.1525 3.7283 0.0000
0.0000 0.0000 7.9000
V Mo Ru
4 2 3
direct
0.0000 0.0000 0.1599
0.0000 0.0000 0.8401
0.3333 0.6667 0.3883
0.6667 0.3333 0.6117
0.3333 0.6667 0.7229
0.6667 0.3333 0.2771
0.0000 0.0000 0.5000
0.3333 0.6667 0.0760
0.6667 0.3333 0.9240
```

=====

No. 5
An optimized crystal structure of V6MoRu, computed with PBE-GGA.

Computed properties:
* excess energy over the best structure of this formula in the dataset: 0 meV per atom
* space group: No. 38
* crystal system: orthorhombic
* calculated formation energy: -168 meV per atom

Structure (POSCAR):
```
V6MoRu
1.0
4.3091 0.0000 0.0000
0.0000 8.4173 0.0000
0.0000 0.0000 6.0601
V Mo Ru
12 2 2
direct
0.0000 0.0000 0.0000
0.0000 0.2471 0.2475
0.0000 0.2529 0.7475
0.0000 0.5000 0.5000
0.0000 0.7471 0.7475
0.0000 0.7529 0.2475
0.5000 0.0000 0.2449
0.5000 0.2467 0.9979
0.5000 0.2533 0.4979
0.5000 0.5000 0.7449
0.5000 0.7467 0.4979
0.5000 0.7533 0.9979
0.5000 0.0000 0.7514
0.5000 0.5000 0.2514
0.0000 0.0000 0.4922
0.0000 0.5000 0.9922
```

=====

No. 6
An optimized crystal structure of V3MoRu3, computed with PBE-GGA.

Computed properties:
* space group: No. 65
* crystal system: orthorhombic
* calculated formation energy: 9 meV per atom

Structure (POSCAR):
```
V3MoRu3
1.0
4.0724 -4.2574 0.0000
4.0724 4.2574 0.0000
0.0000 0.0000 5.9552
V Mo Ru
6 2 6
direct
0.0000 0.0000 0.2427
0.0000 0.0000 0.7573
0.0000 0.5000 0.2486
0.0000 0.5000 0.7514
0.5000 0.0000 0.2486
0.5000 0.0000 0.7514
0.3009 0.3009 0.5000
0.6991 0.6991 0.5000
0.2327 0.7673 0.5000
0.2538 0.2538 0.0000
0.2591 0.7409 0.0000
0.7409 0.2591 0.0000
0.7462 0.7462 0.0000
0.7673 0.2327 0.5000
```

=====

No. 7
An optimized crystal structure of V4MoRu, computed with PBE-GGA.

Computed properties:
* excess energy over the best structure of this formula in the dataset: 0 meV per atom
* space group: No. 123
* crystal system: tetragonal
* calculated formation energy: -237 meV per atom

Structure (POSCAR):
```
V4MoRu
1.0
3.0128 0.0000 0.0000
0.0000 3.0128 0.0000
0.0000 0.0000 9.1315
V Mo Ru
4 1 1
direct
0.0000 0.0000 0.1663
0.0000 0.0000 0.8337
0.5000 0.5000 0.3304
0.5000 0.5000 0.6696
0.0000 0.0000 0.5000
0.5000 0.5000 0.0000
```

=====

No. 8
An optimized crystal structure of V2MoRu3, computed with PBE-GGA.

Computed properties:
* space group: No. 123
* crystal system: tetragonal
* calculated formation energy: -141 meV per atom

Structure (POSCAR):
```
V2MoRu3
1.0
2.9086 0.0000 0.0000
0.0000 2.9086 0.0000
0.0000 0.0000 10.0072
V Mo Ru
2 1 3
direct
0.0000 0.0000 0.1592
0.0000 0.0000 0.8408
0.0000 0.0000 0.5000
0.5000 0.5000 0.0000
0.5000 0.5000 0.3096
0.5000 0.5000 0.6904
```